Below is a relaxed Al2CrBO crystal, with properties calculated at the GGA+U level.

a b c (Å): 4.8300 4.8300 3.8665
angles (deg): 90.00 90.00 90.00
Fractional coordinates of all 5 atoms:
Al 0.0000 0.5000 0.0000
Al 0.5000 0.0000 0.0000
Cr 0.0000 0.0000 0.0000
B 0.0000 0.0000 0.5000
O 0.5000 0.5000 0.5000

Calculated values
DOS(E_F) = 2.55 states/eV/cell
calculated total energy = -4.113 eV/atom
symmetry = P4/mmm, No. 123